(1)
This record from Alexandria describes CrNi2 after structural relaxation. The functional is PBE.

**Density of states at the Fermi level**: 4.6 states/eV/f.u.
**Energy of formation from the pure elements**: 0.0632 eV per atom

a = 2.4345 Å, b = 13.2898 Å, c = 4.1050 Å
α = 90.00°, β = 90.00°, γ = 90.00°
Last column: nearest neighbours and their distance in Å.
Space group Cmcm (No. 63)
Asymmetric unit:
Cr (0.0000, 0.2148, 0.2500) x4  6 Cr 2.43-2.56, 6 Ni 2.46-2.59
Ni (0.0000, 0.1134, 0.7500) x4  8 Ni 2.43-2.53, 4 Cr 2.46-2.59
Ni (0.0000, 0.4466, 0.7500) x4  10 Ni 2.43-2.53, 2 Cr 2.47

---

(2)
This record from Alexandria describes CsNF after structural relaxation. The functional is PBE.

**Density of states at the Fermi level**: 1.5 states/eV/f.u.
**Formation energy from raw total energies**: 0.0 eV per formula unit

a = 3.9136 Å, b = 4.9543 Å, c = 7.5178 Å
α = 90.00°, β = 90.00°, γ = 90.00°
Last column: nearest neighbours and their distance in Å.
Space group Amm2 (No. 38)
Asymmetric unit:
Cs (0.0000, 0.0000, 0.0000) x2  4 F 3.17, 6 N 3.24-3.37
N (0.5000, 0.0000, 0.3433) x2  1 F 1.49
F (0.5000, 0.0000, 0.5414) x2  1 N 1.49

---

(3)
This record from Alexandria describes CaZnSi2Tc after structural relaxation. The functional is PBE.

**Density of states at the Fermi level**: 1.8 states/eV/f.u.
**Formation energy from raw total energies**: -0.6 eV per formula unit

a = 4.6321 Å, b = 4.6321 Å, c = 4.8476 Å
α = 90.00°, β = 90.00°, γ = 90.00°
Last column: nearest neighbours and their distance in Å.
Space group P4/mmm (No. 123)
Asymmetric unit:
Ca (0.0000, 0.0000, 0.0000) x1  4 Zn 3.28, 8 Si 3.35
Zn (0.5000, 0.5000, 0.0000) x1  2 Tc 2.42
Si (0.0000, 0.5000, 0.5000) x2  2 Tc 2.32
Tc (0.5000, 0.5000, 0.5000) x1  4 Si 2.32, 2 Zn 2.42

---

(4)
This record from Alexandria describes MgSc4Be after structural relaxation. The functional is PBE.

**Density of states at the Fermi level**: 4.9 states/eV/f.u.
**Energy of formation from the pure elements**: 0.5176 eV per atom

a = 8.1954 Å, b = 8.1954 Å, c = 8.1954 Å
α = 90.00°, β = 90.00°, γ = 90.00°
Last column: nearest neighbours and their distance in Å.
Space group F-43m (No. 216)
Asymmetric unit:
Mg (0.0000, 0.0000, 0.0000) x4  12 Sc 3.40, 4 Be 3.55
Sc (0.1246, 0.1246, 0.6246) x16  6 Sc 2.89-2.91
Be (0.2500, 0.2500, 0.2500) x4  12 Sc 3.40, 4 Mg 3.55

---

(5)
This record from Alexandria describes LiSmYLu after structural relaxation. The functional is PBE.

**Density of states at the Fermi level**: 3.7 states/eV/f.u.
**Energy of formation from the pure elements**: 0.1528 eV per atom

a = 7.7449 Å, b = 7.7449 Å, c = 7.7449 Å
α = 90.00°, β = 90.00°, γ = 90.00°
Last column: nearest neighbours and their distance in Å.
Space group F-43m (No. 216)
Asymmetric unit:
Li (0.0000, 0.0000, 0.0000) x4  4 Sm 3.35, 4 Y 3.35
Sm (0.2500, 0.2500, 0.7500) x4  4 Li 3.35, 4 Lu 3.35
Y (0.2500, 0.2500, 0.2500) x4  4 Li 3.35, 4 Lu 3.35
Lu (0.0000, 0.0000, 0.5000) x4  4 Sm 3.35, 4 Y 3.35

---

(6)
This record from Alexandria describes ScCr2H8 after structural relaxation. The functional is PBE.

**E**: -53.798 eV per cell
**Density of states at the Fermi level**: 2.9 states/eV/f.u.

a = 4.0287 Å, b = 4.0287 Å, c = 4.6111 Å
α = 90.00°, β = 90.00°, γ = 90.00°
Last column: nearest neighbours and their distance in Å.
Space group P4/mmm (No. 123)
Asymmetric unit:
Sc (0.0000, 0.0000, 0.0000) x1  8 H 2.03
Cr (0.0000, 0.5000, 0.5000) x2  8 H 1.75
H (0.2741, 0.2741, 0.2798) x8  2 Cr 1.75, 2 H 1.82

---

Q: Which value of density of states at the Fermi level does entry 2 give?
A: 1.5 states/eV/f.u.